Entry 1:
Here is a geometry-optimized Sr2ZnI2O2 structure from the Open Quantum Materials Database. Energies are from PBE.

Cell: 10.1753 10.1753 10.1753 Å, 156.54 156.54 33.42°
Fractional coordinates of all 7 atoms:
I  0.1694  0.1694  0.0000
I  0.8306  0.8306  0.0000
O  0.5000  0.0000  0.5000
O  0.0000  0.5000  0.5000
Sr  0.4167  0.4167  0.0000
Sr  0.5833  0.5833  0.0000
Zn  0.0000  0.0000  0.0000

## Properties
volume = 166.9 Å³/f.u.
energy = -4.4290 eV per atom

***

Entry 2:
Here is a geometry-optimized TaI2O4 structure from the Open Quantum Materials Database. Energies are from PBE.

Cell: 7.4024 7.4024 7.4024 Å, 148.10 148.10 45.73°
Fractional coordinates of all 7 atoms:
I  0.2867  0.2867  0.0000
I  0.7133  0.7133  0.0000
O  0.1445  0.1445  0.0000
O  0.8555  0.8555  0.0000
O  0.5000  0.0000  0.5000
O  0.0000  0.5000  0.5000
Ta  0.0000  0.0000  0.0000

## Properties
volume = 112.9 Å³/f.u.
energy = -5.9711 eV per atom

***

Entry 3:
Here is a geometry-optimized TaI3O structure from the Open Quantum Materials Database. Energies are from PBE.

Cell: 12.8013 12.8013 3.8932 Å, 90.00 90.00 90.00°
Fractional coordinates of all 20 atoms:
I  0.1048  0.3952  0.2443
I  0.8952  0.6048  0.2443
I  0.8962  0.1695  0.2449
I  0.6695  0.3962  0.2449
I  0.3305  0.6038  0.2449
I  0.1038  0.8305  0.2449
I  0.1695  0.1038  0.7551
I  0.3962  0.3305  0.7551
I  0.6038  0.6695  0.7551
I  0.8305  0.8962  0.7551
I  0.6048  0.1048  0.7557
I  0.3952  0.8952  0.7557
O  0.3835  0.1165  0.2555
O  0.6165  0.8835  0.2555
O  0.8835  0.3835  0.7445
O  0.1165  0.6165  0.7445
Ta  0.8772  0.3772  0.2445
Ta  0.1228  0.6228  0.2445
Ta  0.3772  0.1228  0.7555
Ta  0.6228  0.8772  0.7555

## Properties
volume = 159.5 Å³/f.u.
energy = -5.3970 eV per atom

***

Entry 4:
Here is a geometry-optimized Ta4Te9I4O structure from the Open Quantum Materials Database. Energies are from PBE.

Cell: 11.7958 11.7958 20.8714 Å, 120.77 120.77 30.80°
Fractional coordinates of all 36 atoms:
I  0.0585  0.6648  0.0106
I  0.6133  0.7221  0.2218
I  0.2779  0.3867  0.2782
I  0.3352  0.9415  0.4894
I  0.6648  0.0585  0.5106
I  0.7221  0.6133  0.7218
I  0.3867  0.2779  0.7782
I  0.9415  0.3352  0.9894
O  0.8884  0.1116  0.2500
O  0.1116  0.8884  0.7500
Ta  0.8759  0.9963  0.1399
Ta  0.7767  0.3710  0.2374
Ta  0.6290  0.2233  0.2626
Ta  0.0037  0.1241  0.3601
Ta  0.9963  0.8759  0.6399
Ta  0.3710  0.7767  0.7374
Ta  0.2233  0.6290  0.7626
Ta  0.1241  0.0037  0.8601
Te  0.6166  0.3428  0.0756
Te  0.4683  0.1961  0.1006
Te  0.0605  0.0561  0.1283
Te  0.8254  0.8214  0.1676
Te  0.3432  0.6568  0.2500
Te  0.1786  0.1746  0.3324
Te  0.9439  0.9395  0.3717
Te  0.8039  0.5317  0.3994
Te  0.6572  0.3834  0.4244
Te  0.3428  0.6166  0.5756
Te  0.1961  0.4683  0.6006
Te  0.0561  0.0605  0.6283
Te  0.8214  0.8254  0.6676
Te  0.6568  0.3432  0.7500
Te  0.1746  0.1786  0.8324
Te  0.9395  0.9439  0.8717
Te  0.5317  0.8039  0.8994
Te  0.3834  0.6572  0.9244

## Properties
volume = 630.2 Å³/f.u.
energy = -5.3350 eV per atom

***

Entry 5:
Here is a geometry-optimized Tb3IO4 structure from the Open Quantum Materials Database. Energies are from PBE.

Cell: 3.9403 3.9403 9.2287 Å, 90.00 90.00 90.00°
Fractional coordinates of all 8 atoms:
I  0.0000  0.0000  0.5000
O  0.5000  0.0000  0.1492
O  0.0000  0.5000  0.1492
O  0.5000  0.0000  0.8508
O  0.0000  0.5000  0.8508
Tb  0.0000  0.0000  0.0000
Tb  0.5000  0.5000  0.2501
Tb  0.5000  0.5000  0.7499

## Properties
volume = 143.3 Å³/f.u.
energy = -7.5464 eV per atom

***

Entry 6:
Here is a geometry-optimized TbI3O9 structure from the Open Quantum Materials Database. Energies are from PBE.

Cell: 8.6333 5.7849 14.7891 Å, 90.00 97.07 90.00°
Fractional coordinates of all 52 atoms:
I  0.6619  0.1528  0.0243
I  0.2270  0.3124  0.1509
I  0.6197  0.5980  0.2020
I  0.8803  0.0980  0.2980
I  0.2730  0.8124  0.3491
I  0.8381  0.6528  0.4757
I  0.1619  0.3472  0.5243
I  0.7270  0.1876  0.6509
I  0.1197  0.9020  0.7020
I  0.3803  0.4020  0.7980
I  0.7730  0.6876  0.8491
I  0.3381  0.8472  0.9757
O  0.1396  0.8993  0.0091
O  0.1383  0.4097  0.0378
O  0.4136  0.0856  0.0565
O  0.4500  0.5919  0.1123
O  0.7210  0.9658  0.1244
O  0.7722  0.4936  0.1331
O  0.0721  0.1054  0.1739
O  0.1420  0.5645  0.2039
O  0.5862  0.3039  0.2423
O  0.9138  0.8039  0.2577
O  0.3580  0.0645  0.2961
O  0.4279  0.6054  0.3261
O  0.7278  0.9936  0.3669
O  0.7790  0.4658  0.3756
O  0.0500  0.0919  0.3877
O  0.0864  0.5856  0.4435
O  0.3617  0.9097  0.4622
O  0.3604  0.3993  0.4909
O  0.6396  0.6007  0.5091
O  0.6383  0.0903  0.5378
O  0.9136  0.4144  0.5565
O  0.9500  0.9081  0.6123
O  0.2210  0.5342  0.6244
O  0.2722  0.0064  0.6331
O  0.5721  0.3946  0.6739
O  0.6420  0.9355  0.7039
O  0.0862  0.1961  0.7423
O  0.4138  0.6961  0.7577
O  0.8580  0.4355  0.7961
O  0.9279  0.8946  0.8261
O  0.2278  0.5064  0.8669
O  0.2790  0.0342  0.8756
O  0.5500  0.4081  0.8877
O  0.5864  0.9144  0.9435
O  0.8617  0.5903  0.9622
O  0.8604  0.1007  0.9909
Tb  0.9607  0.7706  0.0997
Tb  0.5393  0.2706  0.4003
Tb  0.4607  0.7294  0.5997
Tb  0.0393  0.2294  0.9003

## Properties
volume = 183.2 Å³/f.u.
energy = -5.1208 eV per atom
polymorph energy (0 for the lowest one) = 0.0000 eV/atom

***

Entry 7:
Here is a geometry-optimized TbI2O structure from the Open Quantum Materials Database. Energies are from PBE.

Cell: 7.9595 7.9595 9.2471 Å, 105.86 105.86 27.72°
Fractional coordinates of all 8 atoms:
I  0.1639  0.1803  0.0497
I  0.8484  0.8636  0.4341
I  0.1364  0.1516  0.5659
I  0.8197  0.8361  0.9503
O  0.5230  0.5379  0.1981
O  0.4621  0.4770  0.8019
Tb  0.9887  0.0042  0.2517
Tb  0.9958  0.0113  0.7483

## Properties
volume = 130.8 Å³/f.u.
energy = -4.6844 eV per atom

***

Entry 8:
Here is a geometry-optimized TbI3O9 structure from the Open Quantum Materials Database. Energies are from PBE.

Cell: 7.0512 8.3253 13.2207 Å, 90.00 100.23 90.00°
Fractional coordinates of all 52 atoms:
I  0.2254  0.5118  0.1109
I  0.6695  0.7837  0.1143
I  0.1678  0.0357  0.1374
I  0.8322  0.5357  0.3626
I  0.3305  0.2837  0.3857
I  0.7746  0.0118  0.3891
I  0.2254  0.9882  0.6109
I  0.6695  0.7163  0.6143
I  0.1678  0.4643  0.6374
I  0.8322  0.9643  0.8626
I  0.3305  0.2163  0.8857
I  0.7746  0.4882  0.8891
O  0.4632  0.8305  0.0147
O  0.8233  0.4371  0.0256
O  0.8661  0.8331  0.0459
O  0.4837  0.4795  0.1163
O  0.9674  0.1735  0.1252
O  0.2529  0.7107  0.1734
O  0.3539  0.1911  0.1749
O  0.6629  0.9698  0.1881
O  0.8518  0.4711  0.2323
O  0.1482  0.9711  0.2677
O  0.3371  0.4698  0.3119
O  0.6461  0.6911  0.3251
O  0.7471  0.2107  0.3266
O  0.0326  0.6735  0.3748
O  0.5163  0.9795  0.3837
O  0.1339  0.3331  0.4541
O  0.1767  0.9371  0.4744
O  0.5368  0.3305  0.4853
O  0.4632  0.6695  0.5147
O  0.8233  0.0629  0.5256
O  0.8661  0.6669  0.5459
O  0.4837  0.0205  0.6163
O  0.9674  0.3265  0.6252
O  0.2529  0.7893  0.6734
O  0.3539  0.3089  0.6749
O  0.6629  0.5302  0.6881
O  0.8518  0.0289  0.7323
O  0.1482  0.5289  0.7677
O  0.3371  0.0302  0.8119
O  0.6461  0.8089  0.8251
O  0.7471  0.2893  0.8266
O  0.0326  0.8265  0.8748
O  0.5163  0.5205  0.8837
O  0.1339  0.1669  0.9541
O  0.1767  0.5629  0.9744
O  0.5368  0.1695  0.9853
Tb  0.6757  0.2566  0.1454
Tb  0.3243  0.7566  0.3546
Tb  0.6757  0.2434  0.6454
Tb  0.3243  0.7434  0.8546

## Properties
volume = 190.9 Å³/f.u.
energy = -5.1154 eV per atom
polymorph energy (0 for the lowest one) = 0.0054 eV/atom

***

Entry 9:
Here is a geometry-optimized TmI3O9 structure from the Open Quantum Materials Database. Energies are from PBE.

Cell: 7.0192 8.2031 13.1477 Å, 90.00 100.80 90.00°
Fractional coordinates of all 52 atoms:
I  0.2249  0.9939  0.1108
I  0.6679  0.7205  0.1116
I  0.1659  0.4675  0.1385
I  0.8341  0.9675  0.3615
I  0.3321  0.2205  0.3884
I  0.7751  0.4939  0.3892
I  0.2249  0.5061  0.6108
I  0.6679  0.7795  0.6116
I  0.1659  0.0325  0.6385
I  0.8341  0.5325  0.8615
I  0.3321  0.2795  0.8884
I  0.7751  0.0061  0.8892
O  0.4574  0.6699  0.0126
O  0.8222  0.0598  0.0264
O  0.8634  0.6705  0.0419
O  0.4850  0.0278  0.1174
O  0.9676  0.3238  0.1284
O  0.2549  0.7918  0.1742
O  0.3590  0.3146  0.1774
O  0.6691  0.5319  0.1867
O  0.8525  0.0341  0.2304
O  0.1475  0.5342  0.2696
O  0.3309  0.0319  0.3133
O  0.6410  0.8146  0.3226
O  0.7451  0.2918  0.3258
O  0.0324  0.8238  0.3716
O  0.5150  0.5278  0.3826
O  0.1366  0.1705  0.4581
O  0.1778  0.5598  0.4736
O  0.5426  0.1699  0.4874
O  0.4574  0.8301  0.5126
O  0.8222  0.4402  0.5264
O  0.8634  0.8295  0.5419
O  0.4850  0.4722  0.6174
O  0.9676  0.1762  0.6284
O  0.2549  0.7082  0.6742
O  0.3590  0.1854  0.6774
O  0.6691  0.9681  0.6867
O  0.8525  0.4658  0.7304
O  0.1475  0.9658  0.7696
O  0.3309  0.4681  0.8133
O  0.6410  0.6854  0.8226
O  0.7451  0.2082  0.8258
O  0.0324  0.6762  0.8716
O  0.5150  0.9722  0.8826
O  0.1366  0.3295  0.9581
O  0.1778  0.9402  0.9736
O  0.5426  0.3301  0.9874
Tm  0.6770  0.2474  0.1467
Tm  0.3230  0.7474  0.3533
Tm  0.6770  0.2526  0.6467
Tm  0.3230  0.7526  0.8533

## Properties
volume = 185.9 Å³/f.u.
energy = -5.1029 eV per atom

***

Entry 10:
Here is a geometry-optimized TmIO structure from the Open Quantum Materials Database. Energies are from PBE.

Cell: 6.4773 6.0395 7.2861 Å, 90.00 89.68 90.00°
Fractional coordinates of all 12 atoms:
I  0.6109  0.2553  0.1120
I  0.3891  0.7553  0.3880
I  0.6109  0.2447  0.6120
I  0.3891  0.7447  0.8880
O  0.9384  0.8230  0.1261
O  0.0616  0.3230  0.3739
O  0.9384  0.6770  0.6261
O  0.0616  0.1770  0.8739
Tm  0.1496  0.0997  0.1555
Tm  0.8504  0.5997  0.3445
Tm  0.1496  0.4003  0.6555
Tm  0.8504  0.9003  0.8445

## Properties
volume = 71.3 Å³/f.u.
energy = -6.1065 eV per atom

***

Entry 11:
Here is a geometry-optimized TmIO structure from the Open Quantum Materials Database. Energies are from PBE.

Cell: 7.0252 13.0629 12.6831 Å, 90.00 90.00 90.00°
Fractional coordinates of all 48 atoms:
I  0.9724  0.1568  0.0115
I  0.5276  0.6568  0.0115
I  0.1046  0.3651  0.2201
I  0.3953  0.8652  0.2201
I  0.6046  0.3651  0.2799
I  0.8953  0.8652  0.2799
I  0.4724  0.1568  0.4885
I  0.0276  0.6568  0.4885
I  0.9724  0.3432  0.5115
I  0.5276  0.8432  0.5115
I  0.1046  0.1348  0.7201
I  0.3953  0.6348  0.7201
I  0.6046  0.1348  0.7799
I  0.8953  0.6348  0.7799
I  0.4724  0.3432  0.9885
I  0.0276  0.8432  0.9885
O  0.4224  0.0759  0.0532
O  0.0776  0.5759  0.0532
O  0.6552  0.1073  0.2218
O  0.8448  0.6073  0.2218
O  0.1552  0.1073  0.2782
O  0.3448  0.6073  0.2782
O  0.9224  0.0759  0.4468
O  0.5776  0.5759  0.4468
O  0.4224  0.4241  0.5532
O  0.0776  0.9241  0.5532
O  0.6552  0.3927  0.7218
O  0.8448  0.8927  0.7218
O  0.1552  0.3927  0.7782
O  0.3448  0.8927  0.7782
O  0.9224  0.4241  0.9468
O  0.5776  0.9241  0.9468
Tm  0.8208  0.4990  0.0884
Tm  0.6792  0.9990  0.0884
Tm  0.3785  0.1698  0.1843
Tm  0.1215  0.6698  0.1843
Tm  0.8785  0.1698  0.3157
Tm  0.6215  0.6698  0.3157
Tm  0.3208  0.4990  0.4116
Tm  0.1792  0.9990  0.4116
Tm  0.8208  0.0010  0.5884
Tm  0.6792  0.5010  0.5884
Tm  0.3785  0.3302  0.6843
Tm  0.1215  0.8302  0.6843
Tm  0.8785  0.3302  0.8157
Tm  0.6215  0.8302  0.8157
Tm  0.3208  0.0010  0.9116
Tm  0.1792  0.5010  0.9116

## Properties
volume = 72.7 Å³/f.u.
energy = -6.1725 eV per atom

***

Entry 12:
Here is a geometry-optimized TmIO structure from the Open Quantum Materials Database. Energies are from PBE.

Cell: 6.7792 6.7792 7.1757 Å, 109.17 109.17 107.75°
Fractional coordinates of all 12 atoms:
I  0.5000  0.0000  0.0000
I  0.5000  0.5000  0.0000
I  0.0000  0.0000  0.5000
I  0.5000  0.0000  0.5000
O  0.0077  0.2577  0.0154
O  0.2423  0.4923  0.4846
O  0.7577  0.5077  0.5154
O  0.9923  0.7423  0.9846
Tm  0.2739  0.2261  0.2500
Tm  0.9761  0.5239  0.2500
Tm  0.0239  0.4761  0.7500
Tm  0.7261  0.7739  0.7500

## Properties
volume = 65.2 Å³/f.u.
energy = -5.8072 eV per atom